Here is a relaxed ZrNi2Rh crystal from the Alexandria database. Energies are from PBE-GGA.

Cell: 4.709 4.709 4.709 Å, 131.81 131.88 70.47°
Last column: magnetic moment on the atom in μB.
Fractional coordinates of all 4 atoms:
Zr1 0.250 0.750 0.500  -0.03
Rh1 0.750 0.250 0.500  0.13
Ni1 0.500 0.500 0.000  0.18
Ni2 0.000 0.000 0.000  0.18

Values from the calculation:
- D(E_F): 6.041 states/eV per cell
- SG: I4/mmm (139)
- M_tot: 0.4 μB per formula unit
- Energy relative to the elements: -0.4521 eV/atom